No. 1
Entry from Alexandria: crystalline LaTb8Sc3 at its relaxed geometry (GGA-PBE).

The energy relative to the elements comes out at 0.396 eV/atom. The value obtained for the total magnetic moment is 0.00 Bohr magnetons per cell. Its total DFT energy (no corrections) is -112.433 eV/cell. As for the density of states at the Fermi level: 40.4 states/eV per cell.

The structure belongs to space group Immm (No. 71); the cell edges are 6.438, 10.979 and 11.399 Å and the angles 90.00°, 90.00° and 90.00°. The asymmetric unit holds La at (0.000, 0.000, 0.000), Tb at (0.000, 0.167, 0.254), Tb at (0.231, 0.282, 0.000), Sc at (0.000, 0.000, 0.500) and Sc at (0.000, 0.500, 0.210).

***

No. 2
Entry from Alexandria: crystalline LaTb2Sc at its relaxed geometry (GGA-PBE).

The energy relative to the elements comes out at 0.057 eV/atom. The value obtained for the total magnetic moment is 0.00 Bohr magnetons per cell. Its energy relative to the lowest polymorph listed for this composition is 21 meV per atom. Its total DFT energy (no corrections) is -20.291 eV/cell. As for the density of states at the Fermi level: 7.6 states/eV per cell.

The structure belongs to space group P4/mmm (No. 123); the cell edges are 3.553, 3.553 and 9.935 Å and the angles 90.00°, 90.00° and 90.00°. The asymmetric unit holds La at (0.000, 0.000, 0.000), Tb at (0.500, 0.500, 0.269) and Sc at (0.000, 0.000, 0.500).

***

Question: Which formula does entry 1 have?
Answer: LaTb8Sc3

***

Question: The lowest energy relative to the elements belongs to which entry?
Answer: LaTb2Sc

***

Question: What is the total DFT energy (no corrections) in the second record?
Answer: -20.291 eV/cell

***

Question: Number 1 is which compound?
Answer: LaTb8Sc3